The following is a GGA-PBE calculation of a relaxed structure of TiCuSiRu, from Alexandria via LeMat-Bulk.

```
TiCuSiRu
1.0
4.2389 0.0000 0.0000
2.1195 3.6710 0.0000
2.1195 1.2237 3.4611
Ru Cu Ti Si
1 1 1 1
Cartesian
0.0000 0.0000 0.0000
4.2389 2.4473 1.7305
2.1195 1.2237 0.8653
6.3584 3.6710 2.5958
```

Values from the calculation:
**Final energy**: -28.41 eV/cell
**Fermi-level density of states**: 4.475 states/eV/f.u.

The following is a GGA-PBE calculation of a relaxed structure of TiCu2SiRu, from Alexandria via LeMat-Bulk.

```
TiCu2SiRu
1.0
4.6383 0.0000 0.0000
0.0000 4.3807 0.0000
0.0000 0.0000 4.6383
Cu Si Ti Ru
2 1 1 1
Cartesian
0.0000 0.0000 2.3192
2.3192 0.0000 0.0000
2.3192 2.1903 2.3192
0.0000 0.0000 0.0000
0.0000 2.1903 0.0000
```

Values from the calculation:
**Final energy**: -24.64 eV/cell
**Fermi-level density of states**: 3.420 states/eV/f.u.

The following is a GGA-PBE calculation of a relaxed structure of TlCuSi2Ru, from Alexandria via LeMat-Bulk.

```
TlCuSi2Ru
1.0
4.5471 0.0000 0.0000
0.0000 5.3935 0.0000
0.0000 0.0000 4.5471
Si Cu Tl Ru
2 1 1 1
Cartesian
0.0000 0.0000 2.2736
2.2736 0.0000 0.0000
2.2736 2.6968 2.2736
0.0000 2.6968 0.0000
0.0000 0.0000 0.0000
```

Values from the calculation:
**Final energy**: -24.08 eV/cell
**Fermi-level density of states**: 1.522 states/eV/f.u.

The following is a GGA-PBE calculation of a relaxed structure of VCuSiRu, from Alexandria via LeMat-Bulk.

```
VCuSiRu
1.0
-3.7367 -1.2203 -1.4102
-2.3654 -2.5606 2.2998
-3.4828 1.4328 1.8050
Ru V Si Cu
1 1 1 1
Cartesian
-7.1887 -1.7611 2.0210
0.0000 0.0000 0.0000
-4.7924 -1.1741 1.3473
-2.3962 -0.5870 0.6737
```

Values from the calculation:
**Final energy**: -28.96 eV/cell
**Fermi-level density of states**: 1.655 states/eV/f.u.